Here is a relaxed ThAlIr crystal from Alexandria via LeMat-Bulk. Energies are from GGA-PBE.

a b c (Å): 7.1628 4.2618 12.2608
angles (deg): 90.00 90.60 90.00
Space group P2_1/m (No. 11)
Symmetry-distinct sites (fractional):
1 Th 0.0323 0.2500 0.3741
2 Th 0.1577 0.2500 0.0822
3 Th 0.4649 0.7500 0.7099
4 Al 0.1392 0.2500 0.8016
5 Al 0.3644 0.7500 0.4581
6 Al 0.4994 0.7500 0.0819
7 Ir 0.2395 0.7500 0.2447
8 Ir 0.2624 0.2500 0.5744
9 Ir 0.2691 0.7500 0.9093

## Properties
E   -0.560 Ry per atom
Formation energy   -274 kJ/mol of formula units